[1]
VASP calculation (PBE-GGA) on crystalline Ac2Sn3Pt2 at its relaxed geometry.

Total magnetic moment = 0.00 μB per cell
Crystal system = orthorhombic
ΔH_f (0 K) = -5.41 eV/f.u.
SG = Cmcm, No. 63
Offset from the most stable computed form = 0.19 eV/f.u.
Mass density = 10.69 Mg/m³

Cell: 10.5733 10.5733 7.5847 Å, 90.00 90.00 153.90°
Element x y z (fractional)
1 Ac 0.0464 0.9536 0.7500
2 Ac 0.1638 0.8362 0.2500
3 Ac 0.8362 0.1638 0.7500
4 Ac 0.9536 0.0464 0.2500
5 Sn 0.2172 0.7828 0.7500
6 Sn 0.4310 0.5690 0.5569
7 Sn 0.4310 0.5690 0.9431
8 Sn 0.5690 0.4310 0.0569
9 Sn 0.5690 0.4310 0.4431
10 Sn 0.7828 0.2172 0.2500
11 Pt 0.2996 0.7004 0.0464
12 Pt 0.2996 0.7004 0.4536
13 Pt 0.7004 0.2996 0.5464
14 Pt 0.7004 0.2996 0.9536

=====

[2]
VASP calculation (PBE-GGA) on crystalline AcSn12Pt4 at its relaxed geometry.

Total magnetic moment = 0.00 μB per cell
Crystal system = cubic
ΔH_f (0 K) = -7.62 eV/f.u.
SG = Im-3, No. 204
Mass density = 9.29 Mg/m³

Cell: 8.2653 8.2653 8.2653 Å, 109.47 109.47 109.47°
Element x y z (fractional)
1 Ac 0.0000 0.0000 0.0000
2 Sn 0.1592 0.5048 0.3456
3 Sn 0.1592 0.8136 0.6544
4 Sn 0.1864 0.3456 0.8408
5 Sn 0.3456 0.1592 0.5048
6 Sn 0.3456 0.8408 0.1864
7 Sn 0.4952 0.6544 0.8408
8 Sn 0.5048 0.3456 0.1592
9 Sn 0.6544 0.1592 0.8136
10 Sn 0.6544 0.8408 0.4952
11 Sn 0.8136 0.6544 0.1592
12 Sn 0.8408 0.1864 0.3456
13 Sn 0.8408 0.4952 0.6544
14 Pt 0.0000 0.0000 0.5000
15 Pt 0.0000 0.5000 0.0000
16 Pt 0.5000 0.0000 0.0000
17 Pt 0.5000 0.5000 0.5000

=====

[3]
VASP calculation (PBE-GGA) on crystalline AcSn3Pt3 at its relaxed geometry.

Total magnetic moment = 0.00 μB per cell
Crystal system = cubic
ΔH_f (0 K) = -3.06 eV/f.u.
SG = Pm-3n, No. 223
Offset from the most stable computed form = 1.11 eV/f.u.
Mass density = 9.93 Mg/m³

Cell: 7.3106 7.3106 7.3106 Å, 90.00 90.00 90.00°
Element x y z (fractional)
1 Ac 0.0000 0.0000 0.0000
2 Ac 0.5000 0.5000 0.5000
3 Sn 0.0000 0.2500 0.5000
4 Sn 0.0000 0.7500 0.5000
5 Sn 0.2500 0.5000 0.0000
6 Sn 0.5000 0.0000 0.2500
7 Sn 0.5000 0.0000 0.7500
8 Sn 0.7500 0.5000 0.0000
9 Pt 0.0000 0.5000 0.2500
10 Pt 0.0000 0.5000 0.7500
11 Pt 0.2500 0.0000 0.5000
12 Pt 0.5000 0.2500 0.0000
13 Pt 0.5000 0.7500 0.0000
14 Pt 0.7500 0.0000 0.5000

=====

[4]
VASP calculation (PBE-GGA) on crystalline AcSn4Pt12 at its relaxed geometry.

Total magnetic moment = 0.00 μB per cell
Crystal system = cubic
ΔH_f (0 K) = -1.57 eV/f.u.
SG = Im-3, No. 204
Mass density = 13.85 Mg/m³

Cell: 7.7960 7.7960 7.7960 Å, 109.47 109.47 109.47°
Element x y z (fractional)
1 Ac 0.0000 0.0000 0.0000
2 Sn 0.0000 0.0000 0.5000
3 Sn 0.0000 0.5000 0.0000
4 Sn 0.5000 0.0000 0.0000
5 Sn 0.5000 0.5000 0.5000
6 Pt 0.1460 0.3539 0.4999
7 Pt 0.1460 0.6461 0.7921
8 Pt 0.2079 0.8540 0.3539
9 Pt 0.3539 0.2079 0.8540
10 Pt 0.3539 0.4999 0.1460
11 Pt 0.4999 0.1460 0.3539
12 Pt 0.5001 0.8540 0.6461
13 Pt 0.6461 0.5001 0.8540
14 Pt 0.6461 0.7921 0.1460
15 Pt 0.7921 0.1460 0.6461
16 Pt 0.8540 0.3539 0.2079
17 Pt 0.8540 0.6461 0.5001

=====

[5]
VASP calculation (PBE-GGA) on crystalline AcSn2Pt at its relaxed geometry.

Total magnetic moment = 0.00 μB per cell
Crystal system = tetragonal
ΔH_f (0 K) = -1.61 eV/f.u.
SG = P4/mmm, No. 123
Offset from the most stable computed form = 1.77 eV/f.u.
Mass density = 10.72 Mg/m³

Cell: 3.6433 3.6433 7.6946 Å, 90.00 90.00 90.00°
Element x y z (fractional)
1 Ac 0.0000 0.0000 0.0000
2 Sn 0.5000 0.5000 0.3090
3 Sn 0.5000 0.5000 0.6910
4 Pt 0.0000 0.0000 0.5000

=====

[6]
VASP calculation (PBE-GGA) on crystalline Ac2Sn5Pt at its relaxed geometry.

Total magnetic moment = 0.00 μB per cell
Crystal system = tetragonal
ΔH_f (0 K) = -4.57 eV/f.u.
SG = I4mm, No. 107
Mass density = 8.78 Mg/m³

Cell: 6.6157 6.6157 10.7402 Å, 90.00 90.00 90.00°
Element x y z (fractional)
1 Ac 0.0000 0.5000 0.0000
2 Ac 0.0000 0.5000 0.5000
3 Ac 0.5000 0.0000 0.0000
4 Ac 0.5000 0.0000 0.5000
5 Sn 0.0000 0.0000 0.0587
6 Sn 0.2464 0.2464 0.2559
7 Sn 0.2464 0.7536 0.2559
8 Sn 0.2536 0.2536 0.7559
9 Sn 0.2536 0.7464 0.7559
10 Sn 0.5000 0.5000 0.5587
11 Sn 0.7464 0.2536 0.7559
12 Sn 0.7464 0.7464 0.7559
13 Sn 0.7536 0.2464 0.2559
14 Sn 0.7536 0.7536 0.2559
15 Pt 0.0000 0.0000 0.6258
16 Pt 0.5000 0.5000 0.1258

=====

[7]
VASP calculation (PBE-GGA) on crystalline AcSn3Pt at its relaxed geometry.

Total magnetic moment = 0.00 μB per cell
Crystal system = orthorhombic
ΔH_f (0 K) = -3.37 eV/f.u.
SG = Cmmm, No. 65
Offset from the most stable computed form = 0.00 eV/f.u.
Mass density = 9.40 Mg/m³

Cell: 12.8227 12.8227 4.6474 Å, 90.00 90.00 158.92°
Element x y z (fractional)
1 Ac 0.1669 0.8331 0.0000
2 Ac 0.8331 0.1669 0.0000
3 Sn 0.0573 0.9427 0.5000
4 Sn 0.2823 0.7177 0.5000
5 Sn 0.4427 0.5573 0.0000
6 Sn 0.5573 0.4427 0.0000
7 Sn 0.7177 0.2823 0.5000
8 Sn 0.9427 0.0573 0.5000
9 Pt 0.3866 0.6134 0.5000
10 Pt 0.6134 0.3866 0.5000

=====

[8]
VASP calculation (PBE-GGA) on crystalline AcSn3Pt at its relaxed geometry.

Total magnetic moment = 0.00 μB per cell
Crystal system = orthorhombic
ΔH_f (0 K) = -2.95 eV/f.u.
SG = Imma, No. 74
Offset from the most stable computed form = 0.42 eV/f.u.
Mass density = 9.47 Mg/m³

Cell: 11.1346 11.1346 11.1346 Å, 153.67 153.48 37.72°
Element x y z (fractional)
1 Ac 0.3378 0.0878 0.2500
2 Ac 0.6622 0.9122 0.7500
3 Sn 0.0482 0.7982 0.2500
4 Sn 0.2167 0.4667 0.7500
5 Sn 0.4590 0.7090 0.7500
6 Sn 0.5410 0.2910 0.2500
7 Sn 0.7833 0.5333 0.2500
8 Sn 0.9518 0.2018 0.7500
9 Pt 0.0917 0.3417 0.7500
10 Pt 0.9083 0.6583 0.2500

=====

[9]
VASP calculation (PBE-GGA) on crystalline AcSn4Pt4 at its relaxed geometry.

Total magnetic moment = 0.00 μB per cell
Crystal system = tetragonal
ΔH_f (0 K) = -6.09 eV/f.u.
SG = P4_2/nmc, No. 137
Mass density = 11.98 Mg/m³

Cell: 6.8074 6.8074 8.8638 Å, 90.00 90.00 90.00°
Element x y z (fractional)
1 Ac 0.2500 0.7500 0.2500
2 Ac 0.7500 0.2500 0.7500
3 Sn 0.0098 0.2500 0.1200
4 Sn 0.2500 0.0098 0.6200
5 Sn 0.2500 0.4902 0.6200
6 Sn 0.4902 0.2500 0.1200
7 Sn 0.5098 0.7500 0.8800
8 Sn 0.7500 0.5098 0.3800
9 Sn 0.7500 0.9902 0.3800
10 Sn 0.9902 0.7500 0.8800
11 Pt 0.0449 0.2500 0.4233
12 Pt 0.2500 0.0449 0.9233
13 Pt 0.2500 0.4551 0.9233
14 Pt 0.4551 0.2500 0.4233
15 Pt 0.5449 0.7500 0.5767
16 Pt 0.7500 0.5449 0.0767
17 Pt 0.7500 0.9551 0.0767
18 Pt 0.9551 0.7500 0.5767

=====

[10]
VASP calculation (PBE-GGA) on crystalline Ac3Sn2Pt4 at its relaxed geometry.

Total magnetic moment = 0.00 μB per cell
Crystal system = monoclinic
ΔH_f (0 K) = -9.11 eV/f.u.
SG = C2/m, No. 12
Mass density = 12.20 Mg/m³

Cell: 6.4123 6.4123 9.2798 Å, 112.44 112.44 41.58°
Element x y z (fractional)
1 Ac 0.0000 0.0000 0.0000
2 Ac 0.3703 0.3703 0.2990
3 Ac 0.6297 0.6297 0.7010
4 Sn 0.3295 0.3295 0.6616
5 Sn 0.6705 0.6705 0.3384
6 Pt 0.0865 0.0865 0.4187
7 Pt 0.2887 0.2887 0.9342
8 Pt 0.7113 0.7113 0.0658
9 Pt 0.9135 0.9135 0.5813

=====

[11]
VASP calculation (PBE-GGA) on crystalline Ac2Sn3Pt at its relaxed geometry.

Total magnetic moment = 0.00 μB per cell
Crystal system = orthorhombic
ΔH_f (0 K) = -4.66 eV/f.u.
SG = Pmm2, No. 25
Offset from the most stable computed form = 0.00 eV/f.u.
Mass density = 9.24 Mg/m³

Cell: 4.5610 4.8732 8.1238 Å, 90.00 90.00 90.00°
Element x y z (fractional)
1 Ac 0.0000 0.0000 0.0000
2 Ac 0.0000 0.5000 0.4758
3 Sn 0.5000 0.0000 0.6265
4 Sn 0.5000 0.5000 0.1656
5 Sn 0.5000 0.5000 0.8134
6 Pt 0.5000 0.0000 0.2976

=====

[12]
VASP calculation (PBE-GGA) on crystalline Ac2Sn3Pt5 at its relaxed geometry.

Total magnetic moment = 0.00 μB per cell
Crystal system = orthorhombic
ΔH_f (0 K) = -8.51 eV/f.u.
SG = Ibam, No. 72
Mass density = 12.85 Mg/m³

Cell: 9.1540 9.1540 9.1540 Å, 105.12 88.79 139.49°
Element x y z (fractional)
1 Ac 0.1277 0.2347 0.3623
2 Ac 0.3723 0.7347 0.1070
3 Ac 0.6277 0.2653 0.8930
4 Ac 0.8723 0.7653 0.6377
5 Sn 0.1443 0.9026 0.0469
6 Sn 0.2500 0.7500 0.5000
7 Sn 0.3557 0.4026 0.7583
8 Sn 0.6443 0.5974 0.2417
9 Sn 0.7500 0.2500 0.5000
10 Sn 0.8557 0.0974 0.9531
11 Pt 0.0372 0.7500 0.2872
12 Pt 0.1056 0.6711 0.7767
13 Pt 0.2500 0.2500 0.0000
14 Pt 0.3944 0.1711 0.5655
15 Pt 0.4628 0.7500 0.7128
16 Pt 0.5372 0.2500 0.2872
17 Pt 0.6056 0.8289 0.4345
18 Pt 0.7500 0.7500 0.0000
19 Pt 0.8944 0.3289 0.2233
20 Pt 0.9628 0.2500 0.7128

=====

Number 1: DOS(E_F) 6.282 states/eV per cell. Number 2: DOS(E_F) 9.914 states/eV per cell. Number 3: DOS(E_F) 9.413 states/eV per cell. Number 4: DOS(E_F) 5.973 states/eV per cell. Number 5: DOS(E_F) 3.287 states/eV per cell. Number 6: DOS(E_F) 5.374 states/eV per cell. Number 7: DOS(E_F) 4.256 states/eV per cell. Number 8: DOS(E_F) 4.551 states/eV per cell. Number 9: DOS(E_F) 8.044 states/eV per cell. Number 10: DOS(E_F) 5.426 states/eV per cell. Number 11: DOS(E_F) 3.140 states/eV per cell. Number 12: DOS(E_F) 9.429 states/eV per cell.